An optimized crystal structure of Pu2AsPPd6, computed with PBE.

```
Pu2AsPPd6
1.0
-4.0854 2.2743 2.9904
-4.2239 -6.8927 -0.5284
3.7539 -2.8603 7.3039
Pu As P Pd
4 2 2 12
Direct
0.5000 0.7345 0.2588
0.0000 0.2655 0.7588
0.5000 0.7345 0.7412
0.0000 0.2655 0.2412
0.0000 0.7273 0.5000
0.5000 0.2727 0.0000
0.5000 0.2450 0.5000
0.0000 0.7550 0.0000
0.5000 0.1239 0.2508
0.5000 0.1239 0.7492
0.0000 0.8761 0.2492
0.0000 0.8761 0.7508
0.2491 0.0017 0.5000
0.7509 0.0017 0.5000
0.2529 0.4776 0.5000
0.7471 0.4776 0.5000
0.7529 0.5224 0.0000
0.2471 0.5224 0.0000
0.2509 0.9983 0.0000
0.7491 0.9983 0.0000
```

Properties
Space-group type   No. 59
ΔH_f (0 K)   -51.62 kJ/mol of atoms
Crystal system   orthorhombic
Uncorrected energy   -7.523 eV per atom
Density of states at the Fermi level   3.3679 states/eV/atom
Total moment   22.00 μB per cell